VASP calculation (meta-GGA SCAN) on a crystal of TiSbS2 relaxed with PBEsol.

Computed properties:
ρ ... 4832 kg/m3
DFT total energy ... -229.84 eV per cell
V ... 20.08 Å³/atom

The structure in CIF format:
```
data_TiSbS2
_cell_length_a 3.3340
_cell_length_b 3.3340
_cell_length_c 25.0352
_cell_angle_alpha 90.00
_cell_angle_beta 90.00
_cell_angle_gamma 120.00
_space_group_name_H-M_alt 'R -3 m'
_space_group_IT_number 166
_space_group_name_Hall '-R 3 2"'
loop_
_atom_site_label
_atom_site_type_symbol
_atom_site_fract_x
_atom_site_fract_y
_atom_site_fract_z
_atom_site_occupancy
Ti1 Ti 0.0000 0.0000 0.0000 1
Sb1 Sb 0.0000 0.0000 0.5000 1
S1 S 0.0000 0.0000 0.3914 1
```

---

VASP calculation (meta-GGA SCAN) on a crystal of BaScFe2 relaxed with PBEsol.

Computed properties:
ρ ... 5179 kg/m3
Formation energy from the elements ... 0.352 eV/atom
DFT total energy ... -265.91 eV per cell
Energy above the lowest structure with this stoichiometry ... 0.000 eV/atom
V ... 23.56 Å³/atom

The structure in CIF format:
```
data_BaScFe2
_cell_length_a 3.8894
_cell_length_b 3.8894
_cell_length_c 21.5859
_cell_angle_alpha 90.00
_cell_angle_beta 90.00
_cell_angle_gamma 120.00
_space_group_name_H-M_alt 'R 3 m'
_space_group_IT_number 160
_space_group_name_Hall 'R 3 -2"'
loop_
_atom_site_label
_atom_site_type_symbol
_atom_site_fract_x
_atom_site_fract_y
_atom_site_fract_z
_atom_site_occupancy
Ba1 Ba 0.0000 0.0000 0.0000 1
Sc1 Sc 0.0000 0.0000 0.8230 1
Fe1 Fe 0.0000 0.0000 0.2252 1
Fe2 Fe 0.0000 0.0000 0.5568 1
```

---

VASP calculation (meta-GGA SCAN) on a crystal of Ca4Cd3Au relaxed with PBEsol.

Computed properties:
ρ ... 5654 kg/m3
Formation energy from the elements ... -0.560 eV/atom
DFT total energy ... -203.53 eV per cell
V ... 25.50 Å³/atom

The structure in CIF format:
```
data_Ca4Cd3Au
_cell_length_a 3.7250
_cell_length_b 3.7250
_cell_length_c 14.7002
_cell_angle_alpha 90.00
_cell_angle_beta 90.00
_cell_angle_gamma 90.00
_space_group_name_H-M_alt 'P 4/m m m'
_space_group_IT_number 123
_space_group_name_Hall '-P 4 2'
loop_
_atom_site_label
_atom_site_type_symbol
_atom_site_fract_x
_atom_site_fract_y
_atom_site_fract_z
_atom_site_occupancy
Ca1 Ca 0.0000 0.0000 0.1144 1
Ca2 Ca 0.0000 0.0000 0.3715 1
Cd1 Cd 0.5000 0.5000 0.2449 1
Cd2 Cd 0.5000 0.5000 0.5000 1
Au1 Au 0.5000 0.5000 0.0000 1
```